1.
SrCoH3 after structural relaxation. Source: Alexandria via LeMat-Bulk, functional GGA-PBE.

Cell: 3.7352 3.7352 10.1121 Å, 90.00 90.00 120.00°
Closest atoms and distances in Å follow each position.
Fractional coordinates of all 10 atoms:
H  0.6667  0.3333  0.4072  1 Co 1.59
H  0.0000  0.0000  0.2500  3 Co 2.16
H  0.6667  0.3333  0.0928  1 Co 1.59
H  0.3333  0.6667  0.5928  1 Co 1.59
H  0.3333  0.6667  0.9072  1 Co 1.59
H  0.0000  0.0000  0.7500  3 Co 2.16
Co  0.3333  0.6667  0.7500  2 H 1.59
Co  0.6667  0.3333  0.2500  2 H 1.59
Sr  0.0000  0.0000  0.0000  8 H 2.35-2.53
Sr  0.0000  0.0000  0.5000  8 H 2.35-2.53

SG = P6_3/mmc, No. 194
total magnetization = 2.9 μB per cell
energy = -3.83 eV per atom


2.
SrCoH3 after structural relaxation. Source: Alexandria via LeMat-Bulk, functional GGA-PBE.

Cell: 7.8658 4.7912 4.7913 Å, 55.12 82.68 97.63°
Closest atoms and distances in Å follow each position.
Fractional coordinates of all 10 atoms:
Sr  0.2658  0.9262  0.9955  6 H 2.53-2.64
Sr  0.7552  0.1717  0.7529  7 H 2.42-2.71
H  0.3756  0.4811  0.9413  2 Co 1.65
H  0.6754  0.6315  0.7928  2 Co 1.65
H  0.6754  0.1314  0.2928  2 Co 1.65
H  0.0762  0.3321  0.5899  3 Sr 2.42-2.64
H  0.5483  0.5679  0.3556  2 Co 1.67
H  0.3756  0.9811  0.4412  2 Co 1.65
Co  0.5257  0.3608  0.1714  5 H 1.65-1.67
Co  0.5257  0.7519  0.5624  5 H 1.65-1.67

SG = P1, No. 1
total magnetization = 1.9 μB per cell
energy = -4.03 eV per atom


3.
SrCoH3 after structural relaxation. Source: Alexandria via LeMat-Bulk, functional GGA-PBE.

Cell: 4.0547 4.0547 8.8413 Å, 76.74 76.74 90.00°
Closest atoms and distances in Å follow each position.
Fractional coordinates of all 10 atoms:
Co  0.8184  0.3184  0.3632  2 H 2.03
Co  0.6816  0.1816  0.6368  2 H 2.03
H  0.3280  0.3280  0.3439  2 Co 2.03
H  0.4906  0.8923  0.2154  1 H 0.80
H  0.2940  0.8923  0.2154  1 H 0.80
H  0.6720  0.6720  0.6561  2 Co 2.03
H  0.1077  0.5094  0.7846  1 H 0.80
H  0.1077  0.7060  0.7846  1 H 0.80
Sr  0.2500  0.7500  0.5000  8 H 2.41
Sr  0.0000  0.0000  0.0000  4 H 2.43

SG = I-4m2, No. 119
total magnetization = 2.5 μB per cell
energy = -3.45 eV per atom


4.
SrCoH3 after structural relaxation. Source: Alexandria via LeMat-Bulk, functional GGA-PBE.

Cell: 4.1445 4.1445 4.1445 Å, 98.30 98.30 98.30°
Closest atoms and distances in Å follow each position.
Fractional coordinates of all 5 atoms:
H  0.0638  0.6999  0.6999  1 Co 1.51
H  0.6999  0.0638  0.6999  1 Co 1.51
H  0.6999  0.6999  0.0638  1 Co 1.51
Sr  0.4692  0.4692  0.4692  6 H 2.31-2.51
Co  0.9423  0.9423  0.9423  3 H 1.51

SG = R3m, No. 160
total magnetization = 0.0 μB per cell
energy = -3.62 eV per atom


5.
SrCoH3 after structural relaxation. Source: Alexandria via LeMat-Bulk, functional GGA-PBE.

Cell: 6.6634 6.6634 6.6634 Å, 60.00 60.00 60.00°
Closest atoms and distances in Å follow each position.
Fractional coordinates of all 20 atoms:
Sr  0.6250  0.6250  0.1250  6 H 2.49
Sr  0.6250  0.1250  0.6250  6 H 2.49
Sr  0.1250  0.6250  0.6250  6 H 2.49
Sr  0.6250  0.6250  0.6250  6 H 2.49
H  0.0713  0.4287  0.0713  2 Co 1.74
H  0.1787  0.1787  0.8213  2 Co 1.74
H  0.4287  0.0713  0.4287  2 Co 1.74
H  0.0713  0.0713  0.4287  2 Co 1.74
H  0.8213  0.1787  0.1787  2 Co 1.74
H  0.1787  0.8213  0.1787  2 Co 1.74
H  0.8213  0.1787  0.8213  2 Co 1.74
H  0.4287  0.4287  0.0713  2 Co 1.74
H  0.0713  0.4287  0.4287  2 Co 1.74
H  0.8213  0.8213  0.1787  2 Co 1.74
H  0.1787  0.8213  0.8213  2 Co 1.74
H  0.4287  0.0713  0.0713  2 Co 1.74
Co  0.1250  0.6250  0.1250  6 H 1.74
Co  0.6250  0.1250  0.1250  6 H 1.74
Co  0.1250  0.1250  0.1250  6 H 1.74
Co  0.1250  0.1250  0.6250  6 H 1.74

SG = Fd-3m, No. 227
total magnetization = 3.9 μB per cell
energy = -3.79 eV per atom


6.
SrCoH3 after structural relaxation. Source: Alexandria via LeMat-Bulk, functional GGA-PBE.

Cell: 4.4024 4.4024 4.4024 Å, 90.00 90.00 90.00°
Closest atoms and distances in Å follow each position.
Fractional coordinates of all 5 atoms:
H  0.0000  0.0000  0.5000  2 Sr 2.20
H  0.5000  0.0000  0.0000  2 Sr 2.20
H  0.0000  0.5000  0.0000  2 Sr 2.20
Sr  0.0000  0.0000  0.0000  6 H 2.20
Co  0.5000  0.5000  0.5000  12 H 3.11

SG = Pm-3m, No. 221
total magnetization = 2.2 μB per cell
energy = -2.91 eV per atom


7.
SrCo2H6 after structural relaxation. Source: Alexandria via LeMat-Bulk, functional GGA-PBE.

Cell: 5.8568 5.8568 5.8568 Å, 60.00 60.00 60.00°
Closest atoms and distances in Å follow each position.
Fractional coordinates of all 18 atoms:
Co  0.1250  0.6250  0.1250  6 H 1.61
Co  0.1250  0.1250  0.6250  6 H 1.61
Co  0.1250  0.1250  0.1250  6 H 1.61
Co  0.6250  0.1250  0.1250  6 H 1.61
H  0.7931  0.7931  0.2069  2 Co 1.61
H  0.0431  0.4569  0.0431  2 Co 1.61
H  0.7931  0.2069  0.2069  2 Co 1.61
H  0.0431  0.0431  0.4569  2 Co 1.61
H  0.4569  0.0431  0.0431  2 Co 1.61
H  0.2069  0.7931  0.2069  2 Co 1.61
H  0.4569  0.4569  0.0431  2 Co 1.61
H  0.4569  0.0431  0.4569  2 Co 1.61
H  0.2069  0.7931  0.7931  2 Co 1.61
H  0.7931  0.2069  0.7931  2 Co 1.61
H  0.2069  0.2069  0.7931  2 Co 1.61
H  0.0431  0.4569  0.4569  2 Co 1.61
Sr  0.7500  0.7500  0.7500  6 H 2.43
Sr  0.5000  0.5000  0.5000  6 H 2.43

SG = Fd-3m, No. 227
total magnetization = 1.1 μB per cell
energy = -4.23 eV per atom


8.
SrCoH3 after structural relaxation. Source: Alexandria via LeMat-Bulk, functional GGA-PBE.

Cell: 3.1699 3.1699 5.1515 Å, 90.00 90.00 90.00°
Closest atoms and distances in Å follow each position.
Fractional coordinates of all 5 atoms:
H  0.0000  0.5000  0.4547  2 Co 1.70
H  0.5000  0.0000  0.4547  2 Co 1.70
H  0.0000  0.0000  0.6618  4 H 1.91
Sr  0.0000  0.0000  0.1202  5 H 2.34-2.36
Co  0.5000  0.5000  0.5724  4 H 1.70

SG = P4mm, No. 99
total magnetization = 0.0 μB per cell
energy = -3.53 eV per atom


9.
SrCoH3 after structural relaxation. Source: Alexandria via LeMat-Bulk, functional GGA-PBE.

Cell: 15.3230 6.4847 6.4847 Å, 152.53 154.80 25.20°
Closest atoms and distances in Å follow each position.
Fractional coordinates of all 10 atoms:
H  0.0980  0.2038  0.7962  1 Co 1.60
H  0.2480  0.6548  0.3452  1 H 1.70, 2 Co 1.77
H  0.5087  0.2900  0.7100  3 Co 1.65-1.80, 1 H 1.70
H  0.4913  0.7100  0.2900  3 Co 1.65-1.80, 1 H 1.70
H  0.9020  0.7962  0.2038  1 Co 1.60
H  0.7520  0.3452  0.6548  1 H 1.70, 2 Co 1.77
Sr  0.8146  0.0834  0.9166  6 H 2.33-2.54
Sr  0.1854  0.9166  0.0834  6 H 2.33-2.54
Co  0.3442  0.9903  0.0097  4 H 1.60-1.77
Co  0.6558  0.0097  0.9903  4 H 1.60-1.77

SG = C2/m, No. 12
total magnetization = 1.1 μB per cell
energy = -3.82 eV per atom


10.
Sr2CoH2 after structural relaxation. Source: Alexandria via LeMat-Bulk, functional GGA-PBE.

Cell: 3.9177 3.9177 7.3220 Å, 74.48 74.48 90.00°
Closest atoms and distances in Å follow each position.
Fractional coordinates of all 5 atoms:
H  0.2500  0.7500  0.5000  4 Sr 2.44
H  0.7500  0.2500  0.5000  4 Sr 2.44
Sr  0.3569  0.3569  0.2861  4 H 2.44
Sr  0.6431  0.6431  0.7139  4 H 2.44
Co  0.0000  0.0000  0.0000  8 Sr 3.38

polymorph energy (0 for the lowest one) = 0 meV per atom
SG = I4/mmm, No. 139
total magnetization = 1.1 μB per cell
energy = -3.39 eV per atom


11.
SrCoH3 after structural relaxation. Source: Alexandria via LeMat-Bulk, functional GGA-PBE.

Cell: 4.8771 5.1242 5.1236 Å, 120.00 90.01 90.06°
Closest atoms and distances in Å follow each position.
Fractional coordinates of all 10 atoms:
Co  0.9702  0.1125  0.9223  6 H 1.71
Co  0.4701  0.1125  0.9223  6 H 1.71
H  0.7205  0.3832  0.0576  2 Co 1.71
H  0.2198  0.8418  0.7869  2 Co 1.71
H  0.7200  0.9772  0.0576  2 Co 1.71
H  0.2203  0.2479  0.7869  2 Co 1.71
H  0.7199  0.9772  0.6515  2 Co 1.71
H  0.2204  0.2479  0.1930  2 Co 1.71
Sr  0.7201  0.4459  0.5890  6 H 2.58
Sr  0.2201  0.7792  0.2556  6 H 2.58

SG = C2/m, No. 12
total magnetization = 0.0 μB per cell
energy = -4.12 eV per atom


12.
SrCoH3 after structural relaxation. Source: Alexandria via LeMat-Bulk, functional GGA-PBE.

Cell: 4.8323 7.8279 6.1655 Å, 90.00 90.00 90.00°
Closest atoms and distances in Å follow each position.
Fractional coordinates of all 20 atoms:
Co  0.4999  0.7500  0.4338  4 H 1.56-1.66
Co  0.0001  0.2500  0.9338  4 H 1.56-1.66
Co  0.5001  0.2500  0.5662  4 H 1.56-1.66
Co  0.9999  0.7500  0.0662  4 H 1.56-1.66
H  0.7488  0.2500  0.7511  2 Co 1.66
H  0.0001  0.6090  0.8876  1 Co 1.56
H  0.7512  0.7500  0.2511  2 Co 1.66
H  0.5001  0.6090  0.6124  1 Co 1.56
H  0.2512  0.7500  0.2489  2 Co 1.66
H  0.9999  0.3910  0.1124  1 Co 1.56
H  0.4999  0.3910  0.3876  1 Co 1.56
H  0.2488  0.2500  0.7489  2 Co 1.66
H  0.4999  0.1090  0.3876  1 Co 1.56
H  0.9999  0.1090  0.1124  1 Co 1.56
H  0.5001  0.8910  0.6124  1 Co 1.56
H  0.0001  0.8910  0.8876  1 Co 1.56
Sr  0.0000  0.5000  0.5000  10 H 2.54-2.77
Sr  0.5000  0.5000  0.0000  10 H 2.54-2.77
Sr  0.5000  0.0000  0.0000  10 H 2.54-2.77
Sr  0.0000  0.0000  0.5000  10 H 2.54-2.77

SG = Pnma, No. 62
total magnetization = 3.2 μB per cell
energy = -3.88 eV per atom


13.
Sr2CoH2 after structural relaxation. Source: Alexandria via LeMat-Bulk, functional GGA-PBE.

Cell: 7.2259 7.2259 3.3692 Å, 90.00 90.00 90.00°
Closest atoms and distances in Å follow each position.
Fractional coordinates of all 10 atoms:
Sr  0.1803  0.6803  0.5000  6 H 2.59-2.81
Sr  0.6803  0.8197  0.5000  6 H 2.59-2.81
Sr  0.8197  0.3197  0.5000  6 H 2.59-2.81
Sr  0.3197  0.1803  0.5000  6 H 2.59-2.81
H  0.8730  0.6270  0.0000  6 Sr 2.59-2.81, 1 H 2.60, 2 Co 2.85
H  0.1270  0.3730  0.0000  6 Sr 2.59-2.81, 1 H 2.60, 2 Co 2.85
H  0.6270  0.1270  0.0000  6 Sr 2.59-2.81, 1 H 2.60, 2 Co 2.85
H  0.3730  0.8730  0.0000  6 Sr 2.59-2.81, 1 H 2.60, 2 Co 2.85
Co  0.0000  0.0000  0.0000  4 H 2.85, 8 Sr 3.14
Co  0.5000  0.5000  0.0000  4 H 2.85, 8 Sr 3.14

polymorph energy (0 for the lowest one) = 78 meV per atom
SG = P4/mbm, No. 127
total magnetization = 2.0 μB per cell
energy = -3.31 eV per atom


14.
SrCo3H after structural relaxation. Source: Alexandria via LeMat-Bulk, functional GGA-PBE.

Cell: 4.0084 4.0084 4.0084 Å, 90.00 90.00 90.00°
Closest atoms and distances in Å follow each position.
Fractional coordinates of all 5 atoms:
Sr  0.5000  0.5000  0.5000  12 Co 2.83
Co  0.5000  0.0000  0.0000  2 H 2.00
Co  0.0000  0.5000  0.0000  2 H 2.00
Co  0.0000  0.0000  0.5000  2 H 2.00
H  0.0000  0.0000  0.0000  6 Co 2.00

polymorph energy (0 for the lowest one) = 0 meV per atom
SG = Pm-3m, No. 221
total magnetization = 3.5 μB per cell
energy = -4.65 eV per atom


15.
SrCoH3 after structural relaxation. Source: Alexandria via LeMat-Bulk, functional GGA-PBE.

Cell: 17.9191 4.9527 6.8827 Å, 90.00 159.88 90.00°
Closest atoms and distances in Å follow each position.
Fractional coordinates of all 20 atoms:
Sr  0.6000  0.2501  0.6004  2 H 2.22
Sr  0.1000  0.2499  0.1004  2 H 2.22
Sr  0.4000  0.7499  0.3996  2 H 2.22
Sr  0.9000  0.7501  0.8996  2 H 2.22
H  0.1882  0.1114  0.6879  1 Co 1.60
H  0.4407  0.1031  0.9412  2 Co 1.63-1.65, 1 H 1.73
H  0.3225  0.2498  0.3225  2 Co 1.82
H  0.8118  0.8886  0.3121  1 Co 1.60
H  0.0593  0.6031  0.5588  2 Co 1.63-1.65, 1 H 1.73
H  0.6882  0.3886  0.1879  1 Co 1.60
H  0.3118  0.6114  0.8121  1 Co 1.60
H  0.1775  0.7498  0.1775  2 Co 1.82
H  0.9407  0.3969  0.4412  2 Co 1.63-1.65, 1 H 1.73
H  0.6775  0.7502  0.6775  2 Co 1.82
H  0.5593  0.8969  0.0588  2 Co 1.63-1.65, 1 H 1.73
H  0.8225  0.2502  0.8225  2 Co 1.82
Co  0.4308  0.7697  0.9309  3 H 1.60-1.65
Co  0.5692  0.2303  0.0691  3 H 1.60-1.65
Co  0.0692  0.2697  0.5691  3 H 1.60-1.65
Co  0.9308  0.7303  0.4309  3 H 1.60-1.65

SG = Cmce, No. 64
total magnetization = 0.0 μB per cell
energy = -3.97 eV per atom


16.
SrCoH3 after structural relaxation. Source: Alexandria via LeMat-Bulk, functional GGA-PBE.

Cell: 4.8013 5.4584 5.4584 Å, 53.61 90.00 90.00°
Closest atoms and distances in Å follow each position.
Fractional coordinates of all 10 atoms:
H  0.3175  0.0150  0.7121  2 Co 1.59-1.72
H  0.7227  0.0149  0.7122  2 Co 1.59-1.72
H  0.2384  0.2454  0.9425  1 Co 1.59
H  0.0201  0.3527  0.4374  1 Co 1.56
H  0.0201  0.7400  0.0500  1 Co 1.56
H  0.8019  0.2453  0.9425  1 Co 1.59
Co  0.0201  0.0874  0.7847  4 H 1.56-1.59
Co  0.5201  0.1599  0.8573  4 H 1.59-1.72
Sr  0.5201  0.4840  0.1812  10 H 2.65-2.69
Sr  0.0201  0.7805  0.4777  8 H 2.47-2.70

SG = Amm2, No. 38
total magnetization = 0.6 μB per cell
energy = -4.03 eV per atom


17.
SrCoH3 after structural relaxation. Source: Alexandria via LeMat-Bulk, functional GGA-PBE.

Cell: 15.1272 6.5113 6.5113 Å, 147.56 154.92 25.08°
Closest atoms and distances in Å follow each position.
Fractional coordinates of all 10 atoms:
H  0.5822  0.2301  0.7699  1 Co 1.62
H  0.8954  0.4230  0.5770  3 Co 1.69-1.82
H  0.1046  0.5770  0.4230  3 Co 1.69-1.82
H  0.8456  0.1031  0.8969  1 Co 1.62
H  0.4178  0.7699  0.2301  1 Co 1.62
H  0.1544  0.8969  0.1031  1 Co 1.62
Co  0.1154  0.0701  0.9299  3 H 1.62-1.69
Co  0.8846  0.9299  0.0701  3 H 1.62-1.69
Sr  0.6845  0.9198  0.0802  5 H 2.33-2.59
Sr  0.3155  0.0802  0.9198  5 H 2.33-2.59

SG = C2/m, No. 12
total magnetization = 3.0 μB per cell
energy = -4.01 eV per atom


18.
SrCoH3 after structural relaxation. Source: Alexandria via LeMat-Bulk, functional GGA-PBE.

Cell: 4.0950 4.0950 7.5803 Å, 90.00 90.00 120.00°
Closest atoms and distances in Å follow each position.
Fractional coordinates of all 10 atoms:
H  0.6667  0.3333  0.9243  3 Co 2.43, 4 Sr 2.47-2.71, 7 H 2.63-2.71
H  0.3333  0.6667  0.0757  3 Co 2.43, 4 Sr 2.47-2.71, 7 H 2.63-2.71
H  0.0000  0.0000  0.7500  2 Co 1.90
H  0.0000  0.0000  0.2500  2 Co 1.90
H  0.6667  0.3333  0.5757  3 Co 2.43, 4 Sr 2.47-2.71, 7 H 2.63-2.71
H  0.3333  0.6667  0.4243  3 Co 2.43, 4 Sr 2.47-2.71, 7 H 2.63-2.71
Co  0.0000  0.0000  0.5000  2 H 1.90
Co  0.0000  0.0000  0.0000  2 H 1.90
Sr  0.6667  0.3333  0.2500  5 H 2.36-2.47
Sr  0.3333  0.6667  0.7500  5 H 2.36-2.47

SG = P6_3/mmc, No. 194
total magnetization = 4.2 μB per cell
energy = -3.60 eV per atom


19.
Sr2YCoH after structural relaxation. Source: Alexandria via LeMat-Bulk, functional GGA-PBE.

Cell: 6.6928 4.4404 6.6928 Å, 90.00 90.00 90.00°
Closest atoms and distances in Å follow each position.
Fractional coordinates of all 5 atoms:
H  0.5000  0.5000  0.5000  8 Sr 4.02, 2 H 4.44
Sr  0.5000  0.0000  0.0000  2 Y 3.35
Sr  0.0000  0.0000  0.5000  2 Y 3.35
Co  0.0000  0.5000  0.0000  2 Y 2.22
Y  0.0000  0.0000  0.0000  2 Co 2.22

SG = P4/mmm, No. 123
total magnetization = 0.0 μB per cell
energy = -2.99 eV per atom


20.
SrYCoH2 after structural relaxation. Source: Alexandria via LeMat-Bulk, functional GGA-PBE.

Cell: 4.2516 5.5454 4.2516 Å, 90.00 90.00 90.00°
Closest atoms and distances in Å follow each position.
Fractional coordinates of all 5 atoms:
H  0.5000  0.0000  0.0000  2 Sr 2.13
H  0.0000  0.0000  0.5000  2 Sr 2.13
Y  0.5000  0.5000  0.5000  4 Co 3.01
Co  0.0000  0.5000  0.0000  2 Sr 2.77, 4 Y 3.01
Sr  0.0000  0.0000  0.0000  4 H 2.13

SG = P4/mmm, No. 123
total magnetization = 0.4 μB per cell
energy = -3.97 eV per atom